No. 1
# TaCoSe2Br PBE optimized geometry
# - ΔE_f (raw) (meV per atom) = 750
# - spin magnetization (μB per atom) = 0.00
# - ΔE to the lowest computed polymorph (meV/atom) = 255.8
# - DOS at the Fermi energy (states/eV per atom) = 1.310
data_TaCoSe2Br
_chemical_formula_sum 'Ta1 Co1 Se2 Br1'
_cell_length_a 4.635
_cell_length_b 4.635
_cell_length_c 4.578
_cell_angle_alpha 90.00
_cell_angle_beta 90.00
_cell_angle_gamma 90.00
_symmetry_space_group_name_H-M 'P 4/m m m'
_symmetry_Int_Tables_number 123
_symmetry_space_group_name_Hall '-P 4 2'
loop_
_atom_site_label
_atom_site_type_symbol
_atom_site_fract_x
_atom_site_fract_y
_atom_site_fract_z
Ta1 Ta 0.000 0.000 0.000
Co1 Co 0.500 0.500 0.500
Se1 Se 0.000 0.500 0.500
Br1 Br 0.500 0.500 0.000

No. 2
# TaCoSe2Br PBE optimized geometry
# - ΔE_f (raw) (meV per atom) = 494
# - spin magnetization (μB per atom) = 0.54
# - ΔE to the lowest computed polymorph (meV/atom) = 0.0
# - DOS at the Fermi energy (states/eV per atom) = 1.675
data_TaCoSe2Br
_chemical_formula_sum 'Ta1 Co1 Se2 Br1'
_cell_length_a 5.030
_cell_length_b 5.030
_cell_length_c 5.142
_cell_angle_alpha 90.00
_cell_angle_beta 90.00
_cell_angle_gamma 90.00
_symmetry_space_group_name_H-M 'P 4/m m m'
_symmetry_Int_Tables_number 123
_symmetry_space_group_name_Hall '-P 4 2'
loop_
_atom_site_label
_atom_site_type_symbol
_atom_site_fract_x
_atom_site_fract_y
_atom_site_fract_z
Ta1 Ta 0.000 0.000 0.000
Co1 Co 0.500 0.500 0.500
Se1 Se 0.000 0.500 0.000
Br1 Br 0.000 0.000 0.500

Question: Among the records above, which one has the highest ΔE_f (raw)?
Answer: number 1

Question: Look up the ΔE_f (raw) of the second one.
Answer: 494 meV per atom

Question: Among the records above, which one has the highest ΔE to the lowest computed polymorph?
Answer: number 1

Question: What is the ΔE_f (raw) in the second record?
Answer: 494 meV per atom